--- a ---
A plane-wave DFT calculation with PBE-GGA was carried out for an optimized crystal structure of ZrTl2Cu.

Results
Calculated volume   22.4 Å³ per atom
Total moment   0.000 Bohr magnetons per cell
Space group   Cmmm (65)
Calculated density   10.4 g cm⁻³

Cell lengths 3.287, 3.287, 9.496 Å; angles 90.00, 90.00, 119.15 degrees
Atoms (fractional coordinates):
Tl1 0.000 0.000 0.523
Tl2 0.000 0.000 0.977
Cu1 0.500 0.500 0.750
Zr1 0.500 0.500 0.250

--- b ---
A plane-wave DFT calculation with PBE-GGA was carried out for an optimized crystal structure of ZrTl2Cu.

Results
Calculated volume   21.0 Å³ per atom
Total moment   0.000 Bohr magnetons per cell
Space group   P4/mmm (123)
Calculated density   11.1 g cm⁻³

Cell lengths 4.267, 4.440, 4.440 Å; angles 90.00, 90.00, 90.00 degrees
Atoms (fractional coordinates):
Zr1 0.500 0.500 0.000
Cu1 0.500 0.000 0.500
Tl1 0.000 0.000 0.000
Tl2 0.000 0.500 0.500

Energy relative to the most stable one, in eV/atom: a 0.143; b 0.000

--- a ---
A plane-wave DFT calculation with PBE-GGA was carried out for an optimized crystal structure of LaMo2Au.

Results
Calculated volume   20.6 Å³ per atom
Total moment   0.001 Bohr magnetons per cell
Space group   P4mm (99)
Calculated density   10.6 g cm⁻³

Cell lengths 3.273, 3.273, 7.704 Å; angles 90.00, 90.00, 90.00 degrees
Atoms (fractional coordinates):
Au1 0.000 0.000 0.457
La1 0.500 0.500 0.761
Mo1 0.500 0.500 0.222
Mo2 0.000 0.000 0.059

--- b ---
A plane-wave DFT calculation with PBE-GGA was carried out for an optimized crystal structure of LaMo2Au.

Results
Calculated volume   19.5 Å³ per atom
Total moment   0.000 Bohr magnetons per cell
Space group   C2/m (12)
Calculated density   11.2 g cm⁻³

Cell lengths 5.772, 5.772, 2.882 Å; angles 79.29, 79.29, 119.18 degrees
Atoms (fractional coordinates):
Mo1 0.000 0.000 0.000
Mo2 0.500 0.500 0.000
La1 0.000 0.500 0.500
Au1 0.500 0.000 0.500

Energy relative to the most stable one, in eV/atom: a 0.000; b 0.415

--- a ---
A plane-wave DFT calculation with PBE-GGA was carried out for an optimized crystal structure of LiYC.

Results
Calculated volume   14.0 Å³ per atom
Total moment   0.000 Bohr magnetons per cell
Space group   Pnma (62)
Calculated density   4.3 g cm⁻³

Cell lengths 6.284, 3.637, 7.342 Å; angles 90.00, 90.00, 90.00 degrees
Atoms (fractional coordinates):
Y1 0.539 0.750 0.317
Y2 0.039 0.750 0.183
Y3 0.461 0.250 0.683
Y4 0.961 0.250 0.817
C1 0.238 0.750 0.887
C2 0.738 0.750 0.613
C3 0.262 0.250 0.387
C4 0.762 0.250 0.113
Li1 0.865 0.250 0.453
Li2 0.365 0.250 0.047
Li3 0.135 0.750 0.547
Li4 0.635 0.750 0.953

--- b ---
A plane-wave DFT calculation with PBE-GGA was carried out for an optimized crystal structure of LiYC.

Results
Calculated volume   15.8 Å³ per atom
Total moment   0.000 Bohr magnetons per cell
Space group   Cm (8)
Calculated density   3.8 g cm⁻³

Cell lengths 12.270, 6.395, 6.395 Å; angles 145.37, 154.25, 25.75 degrees
Atoms (fractional coordinates):
C1 0.974 0.348 0.652
C2 0.604 0.450 0.550
Y1 0.533 0.900 0.100
Y2 0.716 0.996 0.004
Li1 0.141 0.986 0.014
Li2 0.048 0.888 0.112

Energy relative to the most stable one, in eV/atom: a 0.000; b 0.071